The following is a DFT calculation (PBE) of a relaxed structure of Cu2HgRu.

Formation energy from the elements ... 0.467 eV/atom
Energy ... -3.976 eV/atom

a b c (Å): 6.223 6.223 6.223
angles (deg): 90.00 90.00 90.00
Sites, in units of the cell vectors:
Cu (0.000, 0.000, 0.000)
Cu (0.000, 0.500, 0.500)
Cu (0.250, 0.250, 0.250)
Cu (0.250, 0.750, 0.750)
Cu (0.500, 0.000, 0.500)
Cu (0.500, 0.500, 0.000)
Cu (0.750, 0.250, 0.750)
Cu (0.750, 0.750, 0.250)
Hg (0.000, 0.000, 0.500)
Hg (0.000, 0.500, 0.000)
Hg (0.500, 0.000, 0.000)
Hg (0.500, 0.500, 0.500)
Ru (0.250, 0.250, 0.750)
Ru (0.250, 0.750, 0.250)
Ru (0.750, 0.250, 0.250)
Ru (0.750, 0.750, 0.750)

***

The following is a DFT calculation (PBE) of a relaxed structure of CuHgRu2.

Formation energy from the elements ... 0.304 eV/atom
Energy ... -5.433 eV/atom

a b c (Å): 2.817 3.650 6.009
angles (deg): 90.00 90.00 90.00
Sites, in units of the cell vectors:
Cu (0.000, 0.000, 0.000)
Hg (0.500, 0.500, 0.254)
Ru (0.000, 0.000, 0.565)
Ru (0.500, 0.500, 0.757)

***

The following is a DFT calculation (PBE) of a relaxed structure of CuHgRu2.

Formation energy from the elements ... 0.413 eV/atom
Energy ... -5.324 eV/atom

a b c (Å): 8.851 2.833 4.971
angles (deg): 90.00 98.87 90.00
Sites, in units of the cell vectors:
Cu (0.000, 0.000, 0.000)
Cu (0.500, 0.500, 0.000)
Hg (0.247, 0.000, 0.774)
Hg (0.747, 0.500, 0.774)
Ru (0.248, 0.500, 0.276)
Ru (0.491, 0.000, 0.449)
Ru (0.748, 0.000, 0.276)
Ru (0.991, 0.500, 0.449)

***

The following is a DFT calculation (PBE) of a relaxed structure of CuHgRu3.

Energy above the lowest structure with this stoichiometry ... 0.00 kJ/mol of atoms
Formation energy from the elements ... 1.540 eV/atom
Energy ... -4.905 eV/atom

a b c (Å): 4.542 4.542 4.542
angles (deg): 90.00 90.00 90.00
Sites, in units of the cell vectors:
Cu (0.000, 0.000, 0.000)
Hg (0.500, 0.500, 0.500)
Ru (0.000, 0.000, 0.500)
Ru (0.000, 0.500, 0.000)
Ru (0.500, 0.000, 0.000)

***

The following is a DFT calculation (PBE) of a relaxed structure of Cu2HgRu.

Formation energy from the elements ... 0.706 eV/atom
Energy ... -3.737 eV/atom

a b c (Å): 3.846 3.846 18.031
angles (deg): 90.00 90.00 90.00
Sites, in units of the cell vectors:
Cu (0.219, 0.250, 0.125)
Cu (0.250, 0.719, 0.375)
Cu (0.250, 0.781, 0.875)
Cu (0.281, 0.250, 0.625)
Cu (0.719, 0.750, 0.625)
Cu (0.750, 0.219, 0.875)
Cu (0.750, 0.281, 0.375)
Cu (0.781, 0.750, 0.125)
Hg (0.000, 0.000, 0.500)
Hg (0.000, 0.500, 0.750)
Hg (0.500, 0.000, 0.250)
Hg (0.500, 0.500, 0.000)
Ru (0.000, 0.000, 0.000)
Ru (0.000, 0.500, 0.250)
Ru (0.500, 0.000, 0.750)
Ru (0.500, 0.500, 0.500)

***

The following is a DFT calculation (PBE) of a relaxed structure of CuHgRu2.

Formation energy from the elements ... 0.646 eV/atom
Energy ... -5.092 eV/atom

a b c (Å): 2.838 4.726 9.353
angles (deg): 90.00 90.00 90.00
Sites, in units of the cell vectors:
Cu (0.000, 0.000, 0.000)
Cu (0.500, 0.500, 0.000)
Hg (0.000, 0.000, 0.500)
Hg (0.500, 0.500, 0.500)
Ru (0.000, 0.500, 0.230)
Ru (0.000, 0.500, 0.770)
Ru (0.500, 0.000, 0.230)
Ru (0.500, 0.000, 0.770)

***

Q: Number 3 is which compound?
A: CuHgRu2